[1]
RuRh2I: optimized geometry, PBE-GGA.

It has space group I-42d (No. 122), with a = 6.320 Å, b = 6.320 Å, c = 9.220 Å, α = 90.00°, β = 90.00° and γ = 90.00°. The asymmetric unit holds Ru at (0.000, 0.000, 0.000), Rh at (0.215, 0.250, 0.125) and I at (0.000, 0.000, 0.500).

Its uncorrected formation energy is 0.8773 eV/atom. The polymorph energy (0 for the lowest one) is 75.9 meV/atom. The magnetization is 0.000 μB per atom.

=====

[2]
CoTc: optimized geometry, PBE-GGA.

It has space group Pnma (No. 62), with a = 9.158 Å, b = 4.155 Å, c = 5.260 Å, α = 90.00°, β = 90.00° and γ = 90.00°. The asymmetric unit holds Co at (0.081, 0.250, 0.005), Co at (0.164, 0.750, 0.245), Tc at (0.086, 0.250, 0.501) and Tc at (0.168, 0.750, 0.766).

Its formation energy from the elements is 0.02 eV/atom. The polymorph energy (0 for the lowest one) is 68.7 meV/atom. The magnetization is 0.008 μB per atom.

=====

[3]
PtBr2O: optimized geometry, PBE-GGA.

It has space group I-42d (No. 122), with a = 5.032 Å, b = 5.032 Å, c = 13.574 Å, α = 90.00°, β = 90.00° and γ = 90.00°. The asymmetric unit holds Pt at (0.000, 0.000, 0.000), Br at (0.228, 0.250, 0.625) and O at (0.000, 0.000, 0.500).

Its uncorrected formation energy is 0.7513 eV/atom. The magnetization is 0.000 μB per atom.

=====

[4]
CuSi2As: optimized geometry, PBE-GGA.

It has space group Imm2 (No. 44), with a = 3.588 Å, b = 4.791 Å, c = 7.330 Å, α = 90.00°, β = 90.00° and γ = 90.00°. The asymmetric unit holds Cu at (0.000, 0.000, 0.000), Si at (0.000, 0.000, 0.476), Si at (0.000, 0.500, 0.737) and As at (0.000, 0.500, 0.238).

Its uncorrected formation energy is 0.4480 eV/atom. The polymorph energy (0 for the lowest one) is 239.6 meV/atom. The magnetization is 0.000 μB per atom.

=====

[5]
SnRhCl3: optimized geometry, PBE-GGA.

It has space group Pm-3m (No. 221), with a = 4.843 Å, b = 4.843 Å, c = 4.843 Å, α = 90.00°, β = 90.00° and γ = 90.00°. The asymmetric unit holds Sn at (0.000, 0.000, 0.000), Rh at (0.500, 0.500, 0.500) and Cl at (0.000, 0.500, 0.500).

Its uncorrected formation energy is -0.2852 eV/atom. The polymorph energy (0 for the lowest one) is 0.0 meV/atom. The magnetization is 0.000 μB per atom.

=====

[6]
CuAg2AsS4: optimized geometry, PBE-GGA.

It has space group C2 (No. 5), with a = 8.099 Å, b = 10.559 Å, c = 5.725 Å, α = 90.00°, β = 134.98° and γ = 90.00°. The asymmetric unit holds Cu at (0.000, 0.000, 0.000), Ag at (0.000, 0.501, 0.000), Ag at (0.000, 0.750, 0.500), As at (0.000, 0.250, 0.500), S at (0.206, 0.125, 0.951) and S at (0.244, 0.376, 0.537).

Its uncorrected formation energy is -0.1164 eV/atom. The magnetization is 0.000 μB per atom.

=====

[7]
CdF: optimized geometry, PBE-GGA.

It has space group C2/m (No. 12), with a = 5.565 Å, b = 3.208 Å, c = 4.108 Å, α = 90.00°, β = 116.46° and γ = 90.00°. The asymmetric unit holds Cd at (0.000, 0.000, 0.000) and F at (0.000, 0.500, 0.500).

Its uncorrected formation energy is -1.2988 eV/atom. The magnetization is 0.000 μB per atom.